# TbTm2WO8

An optimized crystal structure of TbTm2WO8 (GGA+U, the Alexandria database).

a b c (Å): 7.0264 7.1122 6.7898
angles (deg): 90.00 90.00 90.00
Space group Cmmm (No. 65)
Symmetry-distinct sites (fractional):
Tb: 0.0000 0.0000 0.0000 (multiplicity 2)
Tm: 0.0000 0.5000 0.2527 (multiplicity 4)
W: 0.0000 0.0000 0.5000 (multiplicity 2)
O: 0.0000 0.1858 0.2878 (multiplicity 8)
O: 0.1881 0.5000 0.0000 (multiplicity 4)
O: 0.2208 0.5000 0.5000 (multiplicity 4)

* electronic total energy: -190.2 eV per cell
* spin magnetization: 0.17 μB per formula unit